Entry 1:
A plane-wave DFT calculation with PBE was carried out for crystalline TaZn2O4 at its relaxed geometry.

a b c (Å): 8.802 8.802 8.802
angles (deg): 90.00 90.00 90.00
Space group Fd-3m (No. 227, origin choice 2)
Unique sites:
Ta1 0.125 0.125 0.125 x8
Zn1 0.000 0.000 0.500 x16
O1 0.000 0.000 0.250 x32

Calculated values
Uncorrected energy: -0.2430 Ha/atom

Entry 2:
A plane-wave DFT calculation with PBE was carried out for crystalline MgPAuO at its relaxed geometry.

a b c (Å): 3.370 7.691 5.146
angles (deg): 90.00 90.00 90.00
Space group Pmc2_1 (No. 26)
Unique sites:
Mg1 0.000 0.122 0.000 x2
P1 0.500 0.371 0.883 x2
Au1 0.500 0.329 0.403 x2
O1 0.000 0.108 0.371 x2

Calculated values
Relative energy among the computed polymorphs: 284 meV per atom
Uncorrected energy: -0.1618 Ha/atom